Entry from the Alexandria database: a crystal of BaSn3Ge relaxed with PBEsol (SCAN).

It has space group Pm-3m (No. 221), with a = 5.413 Å, b = 5.413 Å, c = 5.413 Å, α = 90.00°, β = 90.00° and γ = 90.00°. The inequivalent atoms are Ba at (0.000, 0.000, 0.000), Sn at (0.000, 0.500, 0.500) and Ge at (0.500, 0.500, 0.500).

For the spin magnetization, the calculation gives 0.0000 μB/atom. The density of states at the Fermi level is 0.61 states/eV per atom. The calculation puts the final energy at -33.303 eV per atom.



Entry from the Alexandria database: a crystal of Ba3SnGe relaxed with PBEsol (SCAN).

It has space group Pm-3m (No. 221), with a = 6.164 Å, b = 6.164 Å, c = 6.164 Å, α = 90.00°, β = 90.00° and γ = 90.00°. The inequivalent atoms are Ba at (0.000, 0.000, 0.500), Sn at (0.500, 0.500, 0.500) and Ge at (0.000, 0.000, 0.000).

For the spin magnetization, the calculation gives 0.3010 μB/atom. The density of states at the Fermi level is 1.55 states/eV per atom. The calculation puts the final energy at -34.986 eV per atom.



Entry from the Alexandria database: a crystal of BaSr3Ge relaxed with PBEsol (SCAN).

It has space group Pm-3m (No. 221), with a = 6.184 Å, b = 6.184 Å, c = 6.184 Å, α = 90.00°, β = 90.00° and γ = 90.00°. The inequivalent atoms are Ba at (0.000, 0.000, 0.000), Sr at (0.000, 0.500, 0.500) and Ge at (0.500, 0.500, 0.500).

For the spin magnetization, the calculation gives 0.3601 μB/atom. The density of states at the Fermi level is 0.47 states/eV per atom. The calculation puts the final energy at -25.328 eV per atom.



Entry from the Alexandria database: a crystal of BaSrGe3 relaxed with PBEsol (SCAN).

It has space group Pm-3m (No. 221), with a = 5.512 Å, b = 5.512 Å, c = 5.512 Å, α = 90.00°, β = 90.00° and γ = 90.00°. The inequivalent atoms are Ba at (0.000, 0.000, 0.000), Sr at (0.500, 0.500, 0.500) and Ge at (0.000, 0.500, 0.500).

For the spin magnetization, the calculation gives 0.0000 μB/atom. The density of states at the Fermi level is 0.85 states/eV per atom. The calculation puts the final energy at -23.385 eV per atom.



Entry from the Alexandria database: a crystal of Ba2SrGe2 relaxed with PBEsol (SCAN).

It has space group P4/mbm (No. 127), with a = 8.219 Å, b = 8.219 Å, c = 5.056 Å, α = 90.00°, β = 90.00° and γ = 90.00°. The inequivalent atoms are Ba at (0.170, 0.330, 0.000), Sr at (0.000, 0.000, 0.500) and Ge at (0.109, 0.609, 0.500).

For the spin magnetization, the calculation gives 0.0000 μB/atom. The density of states at the Fermi level is 0.93 states/eV per atom. The calculation puts the final energy at -28.430 eV per atom.



Entry from the Alexandria database: a crystal of Ba3TcGe relaxed with PBEsol (SCAN).

It has space group Pm-3m (No. 221), with a = 5.609 Å, b = 5.609 Å, c = 5.609 Å, α = 90.00°, β = 90.00° and γ = 90.00°. The inequivalent atoms are Ba at (0.000, 0.000, 0.500), Tc at (0.000, 0.000, 0.000) and Ge at (0.500, 0.500, 0.500).

For the spin magnetization, the calculation gives 0.2653 μB/atom. The density of states at the Fermi level is 0.73 states/eV per atom. The calculation puts the final energy at -34.084 eV per atom.



Entry from the Alexandria database: a crystal of BaGe2Te2 relaxed with PBEsol (SCAN).

It has space group I4/mmm (No. 139), with a = 5.731 Å, b = 5.731 Å, c = 9.065 Å, α = 90.00°, β = 90.00° and γ = 90.00°. The inequivalent atoms are Ba at (0.000, 0.000, 0.000), Ge at (0.000, 0.000, 0.352) and Te at (0.000, 0.500, 0.250).

For the spin magnetization, the calculation gives 0.0000 μB/atom. Its uncorrected formation energy is -54.0 kJ per mole of atoms. The density of states at the Fermi level is 0.18 states/eV per atom. The calculation puts the final energy at -31.005 eV per atom.



Entry from the Alexandria database: a crystal of BaTl2Ge2 relaxed with PBEsol (SCAN).

It has space group I4/mmm (No. 139), with a = 5.077 Å, b = 5.077 Å, c = 10.778 Å, α = 90.00°, β = 90.00° and γ = 90.00°. The inequivalent atoms are Ba at (0.000, 0.000, 0.000), Tl at (0.000, 0.000, 0.366) and Ge at (0.000, 0.500, 0.250).

For the spin magnetization, the calculation gives 0.0000 μB/atom. The density of states at the Fermi level is 0.29 states/eV per atom. The calculation puts the final energy at -44.721 eV per atom.



Entry from the Alexandria database: a crystal of Ba2ZrTlGe relaxed with PBEsol (SCAN).

It has space group P4/mmm (No. 123), with a = 6.062 Å, b = 6.062 Å, c = 5.191 Å, α = 90.00°, β = 90.00° and γ = 90.00°. The inequivalent atoms are Ba at (0.000, 0.500, 0.000), Zr at (0.000, 0.000, 0.000), Tl at (0.500, 0.500, 0.500) and Ge at (0.000, 0.000, 0.500).

For the spin magnetization, the calculation gives 0.0007 μB/atom. The density of states at the Fermi level is 0.94 states/eV per atom. The calculation puts the final energy at -39.894 eV per atom.



Entry from the Alexandria database: a crystal of BaGe3W relaxed with PBEsol (SCAN).

It has space group Pm-3m (No. 221), with a = 5.382 Å, b = 5.382 Å, c = 5.382 Å, α = 90.00°, β = 90.00° and γ = 90.00°. The inequivalent atoms are Ba at (0.000, 0.000, 0.000), Ge at (0.000, 0.000, 0.500) and W at (0.500, 0.500, 0.500).

For the spin magnetization, the calculation gives 0.6841 μB/atom. The density of states at the Fermi level is 0.81 states/eV per atom. The calculation puts the final energy at -30.720 eV per atom.



Entry from the Alexandria database: a crystal of BaY2Ge2 relaxed with PBEsol (SCAN).

It has space group I4/mmm (No. 139), with a = 4.805 Å, b = 4.805 Å, c = 12.399 Å, α = 90.00°, β = 90.00° and γ = 90.00°. The inequivalent atoms are Ba at (0.000, 0.000, 0.000), Y at (0.000, 0.500, 0.250) and Ge at (0.000, 0.000, 0.388).

For the spin magnetization, the calculation gives 0.0000 μB/atom. The density of states at the Fermi level is 0.42 states/eV per atom. The calculation puts the final energy at -27.327 eV per atom.



Entry from the Alexandria database: a crystal of Ba2Zn2Ge relaxed with PBEsol (SCAN).

It has space group I4/mmm (No. 139), with a = 3.775 Å, b = 3.775 Å, c = 20.273 Å, α = 90.00°, β = 90.00° and γ = 90.00°. The inequivalent atoms are Ba at (0.000, 0.000, 0.101), Zn at (0.000, 0.500, 0.250) and Ge at (0.000, 0.000, 0.500).

For the spin magnetization, the calculation gives 0.0000 μB/atom. The density of states at the Fermi level is 0.59 states/eV per atom. The calculation puts the final energy at -25.217 eV per atom.



Entry from the Alexandria database: a crystal of BaZnGe relaxed with PBEsol (SCAN).

It has space group P6_3/mmc (No. 194), with a = 4.3761 Å, b = 4.3761 Å, c = 9.6809 Å, α = 90.00°, β = 90.00° and γ = 120.00°. The inequivalent atoms are Ba at (0.0000, 0.0000, 0.0000), Zn at (0.3333, 0.6667, 0.2500) and Ge at (0.3333, 0.6667, 0.7500).

For the spin magnetization, the calculation gives 0.0000 μB/atom. The density of states at the Fermi level is 0.22 states/eV per atom. The calculation puts the final energy at -24.601 eV per atom.



Entry from the Alexandria database: a crystal of Ba2ZnGe relaxed with PBEsol (SCAN).

It has space group Fm-3m (No. 225), with a = 7.970 Å, b = 7.970 Å, c = 7.970 Å, α = 90.00°, β = 90.00° and γ = 90.00°. The inequivalent atoms are Ba at (0.250, 0.250, 0.250), Zn at (0.000, 0.000, 0.000) and Ge at (0.000, 0.000, 0.500).

For the spin magnetization, the calculation gives 0.0000 μB/atom. The density of states at the Fermi level is 0.07 states/eV per atom. The calculation puts the final energy at -28.305 eV per atom.



Entry from the Alexandria database: a crystal of Ba3ZrGe relaxed with PBEsol (SCAN).

It has space group Pm-3m (No. 221), with a = 5.924 Å, b = 5.924 Å, c = 5.924 Å, α = 90.00°, β = 90.00° and γ = 90.00°. The inequivalent atoms are Ba at (0.000, 0.000, 0.500), Zr at (0.000, 0.000, 0.000) and Ge at (0.500, 0.500, 0.500).

For the spin magnetization, the calculation gives 0.0877 μB/atom. The density of states at the Fermi level is 1.45 states/eV per atom. The calculation puts the final energy at -32.837 eV per atom.



Entry from the Alexandria database: a crystal of BaH2 relaxed with PBEsol (SCAN).

It has space group P6_3/mmc (No. 194), with a = 4.3868 Å, b = 4.3868 Å, c = 5.7965 Å, α = 90.00°, β = 90.00° and γ = 120.00°. The inequivalent atoms are Ba at (0.3333, 0.6667, 0.2500), H at (0.0000, 0.0000, 0.0000) and H at (0.3333, 0.6667, 0.7500).

For the spin magnetization, the calculation gives 0.0000 μB/atom. The density of states at the Fermi level is 0.00 states/eV per atom. The calculation puts the final energy at -16.074 eV per atom.



Entry from the Alexandria database: a crystal of BaH2 relaxed with PBEsol (SCAN).

It has space group Pnma (No. 62), with a = 6.629 Å, b = 4.104 Å, c = 7.719 Å, α = 90.00°, β = 90.00° and γ = 90.00°. The inequivalent atoms are Ba at (0.240, 0.250, 0.112), H at (0.028, 0.750, 0.313) and H at (0.148, 0.750, 0.928).

For the spin magnetization, the calculation gives 0.0000 μB/atom. The density of states at the Fermi level is 0.00 states/eV per atom. The calculation puts the final energy at -16.101 eV per atom.



Entry from the Alexandria database: a crystal of BaHfTcH2 relaxed with PBEsol (SCAN).

It has space group P4/mmm (No. 123), with a = 4.123 Å, b = 4.123 Å, c = 5.015 Å, α = 90.00°, β = 90.00° and γ = 90.00°. The inequivalent atoms are Ba at (0.000, 0.000, 0.000), Hf at (0.500, 0.500, 0.500), Tc at (0.500, 0.500, 0.000) and H at (0.000, 0.500, 0.500).

For the spin magnetization, the calculation gives 0.0542 μB/atom. The density of states at the Fermi level is 0.61 states/eV per atom. The calculation puts the final energy at -28.357 eV per atom.



Entry from the Alexandria database: a crystal of BaHgH3 relaxed with PBEsol (SCAN).

It has space group Pm-3m (No. 221), with a = 4.768 Å, b = 4.768 Å, c = 4.768 Å, α = 90.00°, β = 90.00° and γ = 90.00°. The inequivalent atoms are Ba at (0.000, 0.000, 0.000), Hg at (0.500, 0.500, 0.500) and H at (0.000, 0.000, 0.500).

For the spin magnetization, the calculation gives 0.1991 μB/atom. The density of states at the Fermi level is 0.29 states/eV per atom. The calculation puts the final energy at -23.329 eV per atom.



Entry from the Alexandria database: a crystal of Ba2HgH relaxed with PBEsol (SCAN).

It has space group I-42d (No. 122), with a = 7.858 Å, b = 7.858 Å, c = 8.162 Å, α = 90.00°, β = 90.00° and γ = 90.00°. The inequivalent atoms are Ba at (0.163, 0.250, 0.125), Hg at (0.000, 0.000, 0.500) and H at (0.000, 0.000, 0.000).

For the spin magnetization, the calculation gives 0.0009 μB/atom. The density of states at the Fermi level is 1.02 states/eV per atom. The calculation puts the final energy at -38.097 eV per atom.